Record 1
LaMg2Si2Pt after structural relaxation, computed with PBE-GGA.

Properties
spin magnetization = 0.00 μB/f.u.
E_form (uncorrected) = -1.2 eV/f.u.

a = 5.101 Å, b = 5.101 Å, c = 6.549 Å
α = 112.92°, β = 112.92°, γ = 90.00°
Sites, in units of the cell vectors:
La 0.500 0.500 0.000
Mg 0.250 0.750 0.500
Mg 0.750 0.250 0.500
Si 0.790 0.790 0.581
Si 0.210 0.210 0.419
Pt 0.000 0.000 0.000

Record 2
In12Sb5S3 after structural relaxation, computed with PBE-GGA.

Properties
spin magnetization = 0.00 μB/f.u.
E_form (uncorrected) = 1.0 eV/f.u.

a = 15.238 Å, b = 15.238 Å, c = 15.238 Å
α = 109.47°, β = 109.47°, γ = 109.47°
Sites, in units of the cell vectors:
S 0.750 0.375 0.125
S 0.875 0.750 0.125
S 0.375 0.750 0.625
S 0.250 0.125 0.375
S 0.875 0.125 0.250
S 0.375 0.625 0.250
S 0.625 0.375 0.750
S 0.125 0.875 0.750
S 0.750 0.875 0.625
S 0.625 0.250 0.375
S 0.125 0.250 0.875
S 0.250 0.625 0.875
Sb 0.125 0.375 0.250
Sb 0.000 0.500 0.000
Sb 0.000 0.000 0.000
Sb 0.375 0.250 0.125
Sb 0.500 0.000 0.500
Sb 0.500 0.500 0.000
Sb 0.125 0.750 0.375
Sb 0.750 0.125 0.875
Sb 0.750 0.625 0.375
Sb 0.375 0.125 0.750
Sb 0.625 0.875 0.250
Sb 0.500 0.500 0.500
Sb 0.500 0.000 0.000
Sb 0.000 0.000 0.500
Sb 0.250 0.375 0.625
Sb 0.250 0.875 0.125
Sb 0.000 0.500 0.500
Sb 0.875 0.250 0.625
Sb 0.625 0.750 0.875
Sb 0.875 0.625 0.750
In 0.725 0.168 0.066
In 0.341 0.566 0.398
In 0.934 0.332 0.275
In 0.566 0.225 0.168
In 0.557 0.725 0.659
In 0.934 0.602 0.159
In 0.341 0.775 0.443
In 0.102 0.943 0.168
In 0.602 0.934 0.659
In 0.725 0.557 0.159
In 0.775 0.434 0.332
In 0.841 0.898 0.066
In 0.168 0.725 0.566
In 0.332 0.398 0.057
In 0.057 0.898 0.332
In 0.443 0.168 0.602
In 0.057 0.159 0.225
In 0.434 0.659 0.102
In 0.841 0.943 0.275
In 0.168 0.443 0.102
In 0.332 0.934 0.775
In 0.602 0.668 0.443
In 0.898 0.841 0.566
In 0.775 0.341 0.943
In 0.398 0.332 0.557
In 0.102 0.159 0.434
In 0.225 0.659 0.057
In 0.159 0.057 0.725
In 0.668 0.066 0.225
In 0.832 0.557 0.898
In 0.566 0.341 0.898
In 0.557 0.832 0.398
In 0.943 0.841 0.775
In 0.943 0.102 0.668
In 0.832 0.275 0.434
In 0.159 0.102 0.934
In 0.668 0.602 0.943
In 0.398 0.066 0.341
In 0.275 0.443 0.841
In 0.225 0.566 0.668
In 0.898 0.057 0.832
In 0.659 0.225 0.557
In 0.434 0.775 0.832
In 0.066 0.398 0.841
In 0.443 0.275 0.341
In 0.066 0.668 0.725
In 0.659 0.434 0.602
In 0.275 0.832 0.934

Record 3
ErMg4Sc after structural relaxation, computed with PBE-GGA.

Properties
spin magnetization = 0.00 μB/f.u.
energy of formation = -34 meV/atom
E above lowest polymorph = 0.000 eV per atom

a = 5.137 Å, b = 3.202 Å, c = 9.465 Å
α = 109.69°, β = 90.00°, γ = 90.00°
Sites, in units of the cell vectors:
Er 0.000 0.000 0.000
Mg 0.000 0.164 0.662
Mg 0.500 0.331 0.828
Mg 0.500 0.669 0.172
Mg 0.000 0.836 0.338
Sc 0.500 0.500 0.500

Record 4
TaNi2Pd after structural relaxation, computed with PBE-GGA.

Properties
spin magnetization = 0.00 μB/f.u.
energy of formation = -55 meV/atom
E above lowest polymorph = 0.202 eV per atom

a = 2.929 Å, b = 4.645 Å, c = 8.545 Å
α = 90.00°, β = 99.87°, γ = 90.00°
Sites, in units of the cell vectors:
Ta 0.611 0.750 0.722
Ta 0.389 0.250 0.278
Ni 0.000 0.500 0.500
Ni 0.000 0.000 0.500
Ni 0.231 0.750 0.962
Ni 0.769 0.250 0.038
Pd 0.138 0.250 0.777
Pd 0.862 0.750 0.223